[1]
! LiCdFeTc | the Open Quantum Materials Database | PBE-GGA | optimized geometry; values from VASP
! * distance to the lowest polymorph of the same formula: 0.0 meV per atom
! * size of the total moment: 0.0 μB/cell
! * symmetry: F-43m, No. 216
&SYSTEM
  ibrav = 0, nat = 4, ntyp = 4
/
ATOMIC_SPECIES
Cd 112.41 Cd.upf
Fe 55.84 Fe.upf
Li 6.94 Li.upf
Tc 98.00 Tc.upf
CELL_PARAMETERS angstrom
-2.1958 1.1611 3.4372
-3.9125 1.5818 -0.4177
-3.3527 -2.2793 1.2442
ATOMIC_POSITIONS angstrom
Cd 0.0000 0.0000 0.0000
Fe -2.3653 0.1159 1.0659
Li -7.0957 0.3478 3.1978
Tc -4.7305 0.2318 2.1318



[2]
! LiZnCdFe | the Open Quantum Materials Database | PBE-GGA | optimized geometry; values from VASP
! * distance to the lowest polymorph of the same formula: 57.2 meV per atom
! * size of the total moment: 2.7 μB/cell
! * symmetry: F-43m, No. 216
&SYSTEM
  ibrav = 0, nat = 4, ntyp = 4
/
ATOMIC_SPECIES
Cd 112.41 Cd.upf
Fe 55.84 Fe.upf
Li 6.94 Li.upf
Zn 65.41 Zn.upf
CELL_PARAMETERS angstrom
3.7179 -1.3627 -1.8877
0.7041 -4.2857 -0.6163
-0.0842 -1.6760 -4.0530
ATOMIC_POSITIONS angstrom
Cd 1.0845 -1.8311 -1.6393
Fe 3.2534 -5.4933 -4.9178
Li 2.1689 -3.6622 -3.2785
Zn 0.0000 0.0000 0.0000



[3]
! LiZnCdFe | the Open Quantum Materials Database | PBE-GGA | optimized geometry; values from VASP
! * distance to the lowest polymorph of the same formula: 0.0 meV per atom
! * size of the total moment: 2.5 μB/cell
! * symmetry: F-43m, No. 216
&SYSTEM
  ibrav = 0, nat = 4, ntyp = 4
/
ATOMIC_SPECIES
Cd 112.41 Cd.upf
Fe 55.84 Fe.upf
Li 6.94 Li.upf
Zn 65.41 Zn.upf
CELL_PARAMETERS angstrom
0.0000 3.1087 3.1087
3.1087 0.0000 3.1087
3.1087 3.1087 0.0000
ATOMIC_POSITIONS angstrom
Cd 3.1087 3.1087 3.1087
Fe 4.6631 4.6631 4.6631
Li 1.5544 1.5544 1.5544
Zn 0.0000 0.0000 0.0000



[4]
! LuCdFe | the Open Quantum Materials Database | PBE-GGA | optimized geometry; values from VASP
! * ΔH_f (0 K): 824 meV per atom
! * size of the total moment: 1.9 μB/cell
! * symmetry: F-43m, No. 216
&SYSTEM
  ibrav = 0, nat = 3, ntyp = 3
/
ATOMIC_SPECIES
Cd 112.41 Cd.upf
Fe 55.84 Fe.upf
Lu 174.97 Lu.upf
CELL_PARAMETERS angstrom
0.0000 3.2451 3.2451
3.2451 0.0000 3.2451
3.2451 3.2451 0.0000
ATOMIC_POSITIONS angstrom
Cd 1.6225 1.6225 1.6225
Fe 4.8676 4.8676 4.8676
Lu 0.0000 0.0000 0.0000



[5]
! LuCd2Fe | the Open Quantum Materials Database | PBE-GGA | optimized geometry; values from VASP
! * ΔH_f (0 K): 142 meV per atom
! * size of the total moment: 2.2 μB/cell
! * symmetry: F-43m, No. 216
&SYSTEM
  ibrav = 0, nat = 4, ntyp = 3
/
ATOMIC_SPECIES
Cd 112.41 Cd.upf
Fe 55.84 Fe.upf
Lu 174.97 Lu.upf
CELL_PARAMETERS angstrom
4.6573 0.3218 0.8106
1.9549 4.2115 0.9449
1.5853 0.9507 4.3628
ATOMIC_POSITIONS angstrom
Cd 0.0000 0.0000 0.0000
Cd 6.1482 4.1130 4.5887
Fe 2.0494 1.3710 1.5296
Lu 4.0988 2.7420 3.0591



[6]
! LuCdFe | the Open Quantum Materials Database | PBE-GGA | optimized geometry; values from VASP
! * ΔH_f (0 K): 562 meV per atom
! * size of the total moment: 2.1 μB/cell
! * symmetry: F-43m, No. 216
&SYSTEM
  ibrav = 0, nat = 3, ntyp = 3
/
ATOMIC_SPECIES
Cd 112.41 Cd.upf
Fe 55.84 Fe.upf
Lu 174.97 Lu.upf
CELL_PARAMETERS angstrom
0.0000 3.2018 3.2018
3.2018 0.0000 3.2018
3.2018 3.2018 0.0000
ATOMIC_POSITIONS angstrom
Cd 0.0000 0.0000 0.0000
Fe 1.6009 1.6009 1.6009
Lu 4.8027 4.8027 4.8027



[7]
! Lu2CdFe | the Open Quantum Materials Database | PBE-GGA | optimized geometry; values from VASP
! * ΔH_f (0 K): 208 meV per atom
! * size of the total moment: 1.8 μB/cell
! * symmetry: F-43m, No. 216
&SYSTEM
  ibrav = 0, nat = 4, ntyp = 3
/
ATOMIC_SPECIES
Cd 112.41 Cd.upf
Fe 55.84 Fe.upf
Lu 174.97 Lu.upf
CELL_PARAMETERS angstrom
0.0000 3.4074 3.4074
3.4074 0.0000 3.4074
3.4074 3.4074 0.0000
ATOMIC_POSITIONS angstrom
Cd 3.4074 3.4074 3.4074
Fe 1.7037 1.7037 1.7037
Lu 0.0000 0.0000 0.0000
Lu 5.1112 5.1112 5.1112



[8]
! LuCdFe2 | the Open Quantum Materials Database | PBE-GGA | optimized geometry; values from VASP
! * ΔH_f (0 K): 237 meV per atom
! * size of the total moment: 4.5 μB/cell
! * symmetry: F-43m, No. 216
&SYSTEM
  ibrav = 0, nat = 4, ntyp = 3
/
ATOMIC_SPECIES
Cd 112.41 Cd.upf
Fe 55.84 Fe.upf
Lu 174.97 Lu.upf
CELL_PARAMETERS angstrom
-0.1915 -4.1792 1.8998
-3.4923 -2.8164 -0.9914
0.7201 -3.7322 -2.5813
ATOMIC_POSITIONS angstrom
Cd -1.4819 -5.3639 -0.8364
Fe 0.0000 0.0000 0.0000
Fe -2.2228 -8.0458 -1.2547
Lu -0.7409 -2.6819 -0.4182



[9]
! LuCdFeSb | the Open Quantum Materials Database | PBE-GGA | optimized geometry; values from VASP
! * distance to the lowest polymorph of the same formula: 0.0 meV per atom
! * size of the total moment: 2.0 μB/cell
! * symmetry: F-43m, No. 216
&SYSTEM
  ibrav = 0, nat = 4, ntyp = 4
/
ATOMIC_SPECIES
Cd 112.41 Cd.upf
Fe 55.84 Fe.upf
Lu 174.97 Lu.upf
Sb 121.76 Sb.upf
CELL_PARAMETERS angstrom
0.0000 3.4592 3.4592
3.4592 0.0000 3.4592
3.4592 3.4592 0.0000
ATOMIC_POSITIONS angstrom
Cd 3.4592 3.4592 3.4592
Fe 5.1889 5.1889 5.1889
Lu 1.7296 1.7296 1.7296
Sb 0.0000 0.0000 0.0000



[10]
! LuCdFeSb | the Open Quantum Materials Database | PBE-GGA | optimized geometry; values from VASP
! * distance to the lowest polymorph of the same formula: 107.8 meV per atom
! * size of the total moment: 1.8 μB/cell
! * symmetry: F-43m, No. 216
&SYSTEM
  ibrav = 0, nat = 4, ntyp = 4
/
ATOMIC_SPECIES
Cd 112.41 Cd.upf
Fe 55.84 Fe.upf
Lu 174.97 Lu.upf
Sb 121.76 Sb.upf
CELL_PARAMETERS angstrom
4.0395 2.4039 1.3366
0.2129 2.1809 4.3682
2.8809 -1.8210 3.5025
ATOMIC_POSITIONS angstrom
Cd 1.7834 0.6909 2.3018
Fe 5.3500 2.0728 6.9055
Lu 3.5667 1.3819 4.6037
Sb 0.0000 0.0000 0.0000



[11]
! MgCdFeMo | the Open Quantum Materials Database | PBE-GGA | optimized geometry; values from VASP
! * distance to the lowest polymorph of the same formula: 0.0 meV per atom
! * size of the total moment: 0.0 μB/cell
! * symmetry: F-43m, No. 216
&SYSTEM
  ibrav = 0, nat = 4, ntyp = 4
/
ATOMIC_SPECIES
Cd 112.41 Cd.upf
Fe 55.84 Fe.upf
Mg 24.30 Mg.upf
Mo 95.94 Mo.upf
CELL_PARAMETERS angstrom
-1.5723 -3.8597 1.4609
-4.3022 -0.4342 0.8979
-2.5626 -2.4717 -2.6129
ATOMIC_POSITIONS angstrom
Cd -4.2185 -3.3828 -0.1271
Fe -2.1093 -1.6914 -0.0635
Mg -6.3277 -5.0742 -0.1906
Mo 0.0000 0.0000 0.0000



[12]
! MgCdFeS3 | the Open Quantum Materials Database | PBE-GGA | optimized geometry; values from VASP
! * calculated total energy: -4.383 eV per atom
! * size of the total moment: 8.0 μB/cell
! * symmetry: Cmcm, No. 63
&SYSTEM
  ibrav = 0, nat = 12, ntyp = 4
/
ATOMIC_SPECIES
Cd 112.41 Cd.upf
Fe 55.84 Fe.upf
Mg 24.30 Mg.upf
S 32.06 S.upf
CELL_PARAMETERS angstrom
-1.5053 3.0472 1.1629
-1.4476 -0.8938 6.0164
9.6743 3.6819 2.8748
ATOMIC_POSITIONS angstrom
Cd 0.0000 0.0000 0.0000
Cd 4.8371 1.8410 1.4374
Fe 0.2516 1.6658 7.0566
Fe 6.4698 4.1694 2.9974
Mg 1.2976 1.1628 4.1807
Mg 5.4238 4.6725 5.8733
S -1.1564 1.6511 5.2725
S 0.7678 3.4615 3.0197
S 1.9960 2.8509 6.2093
S 4.7253 2.9843 3.8447
S 5.9536 2.3738 7.0343
S 7.8778 4.1841 4.7815



[13]
! MgCdFeSb | the Open Quantum Materials Database | PBE-GGA | optimized geometry; values from VASP
! * distance to the lowest polymorph of the same formula: 0.0 meV per atom
! * size of the total moment: 2.7 μB/cell
! * symmetry: F-43m, No. 216
&SYSTEM
  ibrav = 0, nat = 4, ntyp = 4
/
ATOMIC_SPECIES
Cd 112.41 Cd.upf
Fe 55.84 Fe.upf
Mg 24.30 Mg.upf
Sb 121.76 Sb.upf
CELL_PARAMETERS angstrom
2.1869 -4.1559 -0.9953
-1.4941 -2.6734 -3.6966
2.7256 -0.3967 -3.9317
ATOMIC_POSITIONS angstrom
Cd 1.7092 -3.6130 -4.3118
Fe 2.5639 -5.4195 -6.4677
Mg 0.8546 -1.8065 -2.1559
Sb 0.0000 0.0000 0.0000



[14]
! MgCdFeTe3 | the Open Quantum Materials Database | PBE-GGA | optimized geometry; values from VASP
! * distance to the lowest polymorph of the same formula: 94.2 meV per atom
! * size of the total moment: 7.4 μB/cell
! * symmetry: Cmcm, No. 63
&SYSTEM
  ibrav = 0, nat = 12, ntyp = 4
/
ATOMIC_SPECIES
Cd 112.41 Cd.upf
Fe 55.84 Fe.upf
Mg 24.30 Mg.upf
Te 127.60 Te.upf
CELL_PARAMETERS angstrom
-6.3774 -2.8584 -2.2312
-3.7373 -5.8047 -2.4816
-2.3352 -2.9850 10.4991
ATOMIC_POSITIONS angstrom
Cd -5.5299 -4.9825 0.3202
Cd -6.9201 -6.6656 5.4661
Fe 0.0000 0.0000 0.0000
Fe -1.1676 -1.4925 5.2495
Mg -8.5540 -7.5726 -1.0888
Mg -3.8960 -4.0755 6.8751
Te -3.8307 -3.3334 -1.1677
Te -1.9040 -1.8770 2.0096
Te -4.7496 -4.5079 2.9635
Te -7.7004 -7.1402 2.8228
Te -10.5459 -9.7711 3.7767
Te -8.6193 -8.3147 6.9541



[15]
! MgCdFeTe3 | the Open Quantum Materials Database | PBE-GGA | optimized geometry; values from VASP
! * distance to the lowest polymorph of the same formula: 0.0 meV per atom
! * size of the total moment: 7.8 μB/cell
! * symmetry: Cmcm, No. 63
&SYSTEM
  ibrav = 0, nat = 12, ntyp = 4
/
ATOMIC_SPECIES
Cd 112.41 Cd.upf
Fe 55.84 Fe.upf
Mg 24.30 Mg.upf
Te 127.60 Te.upf
CELL_PARAMETERS angstrom
4.0616 0.0000 0.0000
2.0308 6.8376 0.0000
0.0000 0.0000 11.4627
ATOMIC_POSITIONS angstrom
Cd 0.0000 0.0000 0.0000
Cd 0.0000 0.0000 5.7314
Fe 4.0616 6.4221 2.8657
Fe 2.0308 0.4154 8.5971
Mg 2.0308 3.7805 2.8657
Mg 4.0616 3.0570 8.5971
Te 4.0616 4.7801 0.8518
Te 4.0616 1.3217 2.8657
Te 4.0616 4.7801 4.8796
Te 2.0308 2.0575 6.5831
Te 2.0308 5.5158 8.5971
Te 2.0308 2.0575 10.6110



[16]
! MgTlCdFe | the Open Quantum Materials Database | PBE-GGA | optimized geometry; values from VASP
! * distance to the lowest polymorph of the same formula: 0.0 meV per atom
! * size of the total moment: 2.5 μB/cell
! * symmetry: F-43m, No. 216
&SYSTEM
  ibrav = 0, nat = 4, ntyp = 4
/
ATOMIC_SPECIES
Cd 112.41 Cd.upf
Fe 55.84 Fe.upf
Mg 24.30 Mg.upf
Tl 204.38 Tl.upf
CELL_PARAMETERS angstrom
0.0000 3.3972 3.3972
3.3972 0.0000 3.3972
3.3972 3.3972 0.0000
ATOMIC_POSITIONS angstrom
Cd 3.3972 3.3972 3.3972
Fe 5.0958 5.0958 5.0958
Mg 1.6986 1.6986 1.6986
Tl 0.0000 0.0000 0.0000



[17]
! MgCdFeW | the Open Quantum Materials Database | PBE-GGA | optimized geometry; values from VASP
! * distance to the lowest polymorph of the same formula: 55.2 meV per atom
! * size of the total moment: 0.6 μB/cell
! * symmetry: F-43m, No. 216
&SYSTEM
  ibrav = 0, nat = 4, ntyp = 4
/
ATOMIC_SPECIES
Cd 112.41 Cd.upf
Fe 55.84 Fe.upf
Mg 24.30 Mg.upf
W 183.84 W.upf
CELL_PARAMETERS angstrom
1.6211 1.3916 3.9503
2.2889 3.8556 0.2554
-1.8195 3.5603 2.0454
ATOMIC_POSITIONS angstrom
Cd 0.0000 0.0000 0.0000
Fe 1.0452 4.4038 3.1255
Mg 1.5679 6.6057 4.6883
W 0.5226 2.2019 1.5628



[18]
! MgCdFeW | the Open Quantum Materials Database | PBE-GGA | optimized geometry; values from VASP
! * distance to the lowest polymorph of the same formula: 0.0 meV per atom
! * size of the total moment: 0.0 μB/cell
! * symmetry: F-43m, No. 216
&SYSTEM
  ibrav = 0, nat = 4, ntyp = 4
/
ATOMIC_SPECIES
Cd 112.41 Cd.upf
Fe 55.84 Fe.upf
Mg 24.30 Mg.upf
W 183.84 W.upf
CELL_PARAMETERS angstrom
0.0000 3.1223 3.1223
3.1223 0.0000 3.1223
3.1223 3.1223 0.0000
ATOMIC_POSITIONS angstrom
Cd 3.1223 3.1223 3.1223
Fe 1.5611 1.5611 1.5611
Mg 4.6834 4.6834 4.6834
W 0.0000 0.0000 0.0000



[19]
! CdFeMo4N2 | the Open Quantum Materials Database | PBE-GGA | optimized geometry; values from VASP
! * calculated total energy: -8.584 eV per atom
! * size of the total moment: 2.2 μB/cell
! * symmetry: P-6m2, No. 187
&SYSTEM
  ibrav = 0, nat = 8, ntyp = 4
/
ATOMIC_SPECIES
Cd 112.41 Cd.upf
Fe 55.84 Fe.upf
Mo 95.94 Mo.upf
N 14.01 N.upf
CELL_PARAMETERS angstrom
2.8761 0.0000 0.0000
-1.4381 2.4908 0.0000
0.0000 0.0000 14.7305
ATOMIC_POSITIONS angstrom
Cd 1.4381 0.8303 0.0000
Fe 0.0000 0.0000 7.3653
Mo 0.0000 0.0000 2.5190
Mo 1.4381 0.8303 5.2509
Mo 1.4381 0.8303 9.4797
Mo 0.0000 0.0000 12.2115
N 0.0000 1.6605 3.8696
N 0.0000 1.6605 10.8610



[20]
! TlCdFeMo | the Open Quantum Materials Database | PBE-GGA | optimized geometry; values from VASP
! * distance to the lowest polymorph of the same formula: 0.0 meV per atom
! * size of the total moment: 3.9 μB/cell
! * symmetry: F-43m, No. 216
&SYSTEM
  ibrav = 0, nat = 4, ntyp = 4
/
ATOMIC_SPECIES
Cd 112.41 Cd.upf
Fe 55.84 Fe.upf
Mo 95.94 Mo.upf
Tl 204.38 Tl.upf
CELL_PARAMETERS angstrom
-2.2518 -4.0784 0.0367
-3.0048 -0.9711 3.4254
-4.5721 -0.1446 -0.8834
ATOMIC_POSITIONS angstrom
Cd -4.9144 -2.5971 1.2894
Fe -7.3716 -3.8956 1.9341
Mo -2.4572 -1.2985 0.6447
Tl 0.0000 0.0000 0.0000